DFT (PBE) results for crystalline Mg4NiPd7 at its relaxed geometry.

Output
V (Å³/cell): 411
Magnetization (μB/f.u.): 0.74
DFT total energy (eV per cell): -103.47

a = 9.8207 Å, b = 4.7347 Å, c = 9.6946 Å
α = 90.00°, β = 114.13°, γ = 90.00°
Space group C2/m (No. 12)
Inequivalent atoms, fractional coordinates:
Mg 0.0990 0.0000 0.2807
Mg 0.1717 0.5000 0.1293
Ni 0.0000 0.5000 0.5000
Pd 0.0000 0.0000 0.5000
Pd 0.0863 0.5000 0.7925
Pd 0.1317 0.0000 0.9877
Pd 0.2066 0.5000 0.4147